(1)
Below is an optimized crystal structure of NaZnCo2F8, with properties calculated at the PBE+U level. Values from VASP.

```
&SYSTEM
  ibrav = 0, nat = 12, ntyp = 4
/
ATOMIC_SPECIES
Na 22.99 Na.upf
Zn 65.41 Zn.upf
Co 58.93 Co.upf
F 19.00 F.upf
ATOMIC_POSITIONS crystal
Na 0.0000 0.0000 0.0000
Zn 0.0000 0.5000 0.0000
Co 0.5000 0.2505 0.5000
Co 0.5000 0.7495 0.5000
F 0.2133 0.2702 0.2101
F 0.2133 0.7298 0.2101
F 0.3076 0.5000 0.6890
F 0.3222 0.0000 0.6740
F 0.6778 0.0000 0.3260
F 0.6924 0.5000 0.3110
F 0.7867 0.2702 0.7899
F 0.7867 0.7298 0.7899
CELL_PARAMETERS angstrom
4.8150 0.0000 0.0000
0.0000 6.3900 0.0000
-0.1804 0.0000 4.8265
```

Summary:
As for the total energy: -4.539 eV per atom. Its calculated density is 4.0 g/cm3.

---

(2)
Below is an optimized crystal structure of NaZr2CoF11, with properties calculated at the PBE+U level. Values from VASP.

```
&SYSTEM
  ibrav = 0, nat = 15, ntyp = 4
/
ATOMIC_SPECIES
Na 22.99 Na.upf
Zr 91.22 Zr.upf
Co 58.93 Co.upf
F 19.00 F.upf
ATOMIC_POSITIONS crystal
Na 0.0000 0.0000 0.0000
Zr 0.4936 0.4936 0.7636
Zr 0.5064 0.5064 0.2364
Co 0.0000 0.0000 0.5000
F 0.1900 0.7798 0.6878
F 0.2202 0.8100 0.3122
F 0.2464 0.2464 0.6501
F 0.2677 0.2677 0.1116
F 0.3286 0.6714 0.0000
F 0.5000 0.5000 0.5000
F 0.6714 0.3286 0.0000
F 0.7323 0.7323 0.8884
F 0.7536 0.7536 0.3499
F 0.7798 0.1900 0.6878
F 0.8100 0.2202 0.3122
CELL_PARAMETERS angstrom
4.6076 -3.4130 0.0000
4.6076 3.4130 0.0000
-3.4236 0.0000 7.1052
```

Summary:
As for the total energy: -6.230 eV per atom. Its calculated density is 3.5 g/cm3.

---

(3)
Below is an optimized crystal structure of NaZrCo2F, with properties calculated at the PBE+U level. Values from VASP.

```
&SYSTEM
  ibrav = 0, nat = 5, ntyp = 4
/
ATOMIC_SPECIES
Na 22.99 Na.upf
Zr 91.22 Zr.upf
Co 58.93 Co.upf
F 19.00 F.upf
ATOMIC_POSITIONS crystal
Na 0.0000 0.0000 0.0000
Zr 0.5000 0.5000 0.0000
Co 0.0000 0.5000 0.5000
Co 0.5000 0.0000 0.5000
F 0.5000 0.5000 0.5000
CELL_PARAMETERS angstrom
4.4900 0.0000 0.0000
0.0000 4.4900 0.0000
0.0000 0.0000 4.2846
```

Summary:
As for the total energy: -4.006 eV per atom. Its calculated density is 4.8 g/cm3.

---

(4)
Below is an optimized crystal structure of NaZrCoF2, with properties calculated at the PBE+U level. Values from VASP.

```
&SYSTEM
  ibrav = 0, nat = 5, ntyp = 4
/
ATOMIC_SPECIES
Na 22.99 Na.upf
Zr 91.22 Zr.upf
Co 58.93 Co.upf
F 19.00 F.upf
ATOMIC_POSITIONS crystal
Na 0.0000 0.0000 0.0000
Zr 0.0000 0.0000 0.5000
Co 0.5000 0.5000 0.5000
F 0.0000 0.5000 0.0000
F 0.5000 0.0000 0.0000
CELL_PARAMETERS angstrom
3.9921 0.0000 0.0000
0.0000 3.9921 0.0000
0.0000 0.0000 5.7169
```

Summary:
As for the total energy: -4.156 eV per atom. Its calculated density is 3.8 g/cm3.

---

> What is the calculated density in the fourth record?

3.8 g/cm3

---

> Which of these has the highest total energy?

NaZrCo2F

---

> total energy of number 2 (NaZr2CoF11)?

-6.230 eV per atom

---

> What is the total energy in the second record?

-6.230 eV per atom